(1)
VASP calculation (GGA-PBE) on crystalline MgIr2C at its relaxed geometry.

- Energy: -7.067 eV per atom
- Energy above the lowest structure with this stoichiometry: 0.000 eV per atom
- Space-group type: I-42d (122)
- Energy of formation from the pure elements: 0.068 eV per atom

abc: 5.3696 5.3696 5.3696
angles: 102.90 102.90 123.60
Closest atoms and distances in Å follow each position.
Sites, in units of the cell vectors:
Mg 0.0000 0.0000 0.0000  2 C 2.54, 4 Ir 2.68
Mg 0.7500 0.2500 0.5000  2 C 2.54, 4 Ir 2.68
Ir 0.2448 0.6250 0.1198  2 C 1.99
Ir 0.3750 0.4948 0.6198  2 C 1.99
Ir 0.5052 0.1250 0.8802  2 C 1.99
Ir 0.8750 0.7552 0.3802  2 C 1.99
C 0.2500 0.7500 0.5000  4 Ir 1.99
C 0.5000 0.5000 0.0000  4 Ir 1.99


(2)
VASP calculation (GGA-PBE) on crystalline Mg3IrC at its relaxed geometry.

- Energy: -3.303 eV per atom
- Energy above the lowest structure with this stoichiometry: 0.928 eV per atom
- Space-group type: Pm-3m (221)
- Energy of formation from the pure elements: 1.270 eV per atom

abc: 4.9119 4.9119 4.9119
angles: 90.00 90.00 90.00
Closest atoms and distances in Å follow each position.
Sites, in units of the cell vectors:
Mg 0.0000 0.0000 0.5000  2 Ir 2.46
Mg 0.0000 0.5000 0.0000  2 Ir 2.46
Mg 0.5000 0.0000 0.0000  2 Ir 2.46
Ir 0.0000 0.0000 0.0000  6 Mg 2.46
C 0.5000 0.5000 0.5000  12 Mg 3.47


(3)
VASP calculation (GGA-PBE) on crystalline MgIr2C at its relaxed geometry.

- Energy: -6.086 eV per atom
- Energy above the lowest structure with this stoichiometry: 0.981 eV per atom
- Space-group type: Fm-3m (225)
- Energy of formation from the pure elements: 1.049 eV per atom

abc: 4.1560 4.1560 4.1560
angles: 60.00 60.00 60.00
Closest atoms and distances in Å follow each position.
Sites, in units of the cell vectors:
Mg 0.0000 0.0000 0.0000  8 Ir 2.55
Ir 0.2500 0.2500 0.2500  4 Mg 2.55, 4 C 2.55
Ir 0.7500 0.7500 0.7500  4 C 2.55, 4 Mg 2.55
C 0.5000 0.5000 0.5000  8 Ir 2.55


(4)
VASP calculation (GGA-PBE) on crystalline MgMn2IrC at its relaxed geometry.

- Energy: -7.662 eV per atom
- Space-group type: P4/mmm (123)
- Energy of formation from the pure elements: -0.058 eV per atom

abc: 3.9476 3.9476 4.0778
angles: 90.00 90.00 90.00
Closest atoms and distances in Å follow each position.
Sites, in units of the cell vectors:
Mg 0.0000 0.0000 0.0000  4 Ir 2.79, 8 Mn 2.84
Mn 0.0000 0.5000 0.5000  2 C 1.97
Mn 0.5000 0.0000 0.5000  2 C 1.97
Ir 0.5000 0.5000 0.0000  2 C 2.04
C 0.5000 0.5000 0.5000  4 Mn 1.97, 2 Ir 2.04


(5)
VASP calculation (GGA-PBE) on crystalline MgMnIr2C at its relaxed geometry.

- Energy: -7.610 eV per atom
- Space-group type: P4/mmm (123)
- Energy of formation from the pure elements: -0.068 eV per atom

abc: 4.0956 4.0956 3.9849
angles: 90.00 90.00 90.00
Closest atoms and distances in Å follow each position.
Sites, in units of the cell vectors:
Mg 0.0000 0.0000 0.0000  8 Ir 2.86, 4 Mn 2.90
Mn 0.5000 0.5000 0.0000  2 C 1.99
Ir 0.0000 0.5000 0.5000  2 C 2.05
Ir 0.5000 0.0000 0.5000  2 C 2.05
C 0.5000 0.5000 0.5000  2 Mn 1.99, 4 Ir 2.05


(6)
VASP calculation (GGA-PBE) on crystalline MgNiIr2C at its relaxed geometry.

- Energy: -6.950 eV per atom
- Space-group type: P4/mmm (123)
- Energy of formation from the pure elements: -0.085 eV per atom

abc: 4.0677 4.0677 3.9011
angles: 90.00 90.00 90.00
Closest atoms and distances in Å follow each position.
Sites, in units of the cell vectors:
Mg 0.0000 0.0000 0.0000  8 Ir 2.82, 4 Ni 2.88
Ni 0.5000 0.5000 0.0000  2 C 1.95
Ir 0.0000 0.5000 0.5000  2 C 2.03
Ir 0.5000 0.0000 0.5000  2 C 2.03
C 0.5000 0.5000 0.5000  2 Ni 1.95, 4 Ir 2.03


(7)
VASP calculation (GGA-PBE) on crystalline MgNi2IrC at its relaxed geometry.

- Energy: -6.384 eV per atom
- Space-group type: P4/mmm (123)
- Energy of formation from the pure elements: -0.135 eV per atom

abc: 3.8824 3.8824 3.9965
angles: 90.00 90.00 90.00
Closest atoms and distances in Å follow each position.
Sites, in units of the cell vectors:
Mg 0.0000 0.0000 0.0000  4 Ir 2.75, 8 Ni 2.79
Ni 0.0000 0.5000 0.5000  2 C 1.94
Ni 0.5000 0.0000 0.5000  2 C 1.94
Ir 0.5000 0.5000 0.0000  2 C 2.00
C 0.5000 0.5000 0.5000  4 Ni 1.94, 2 Ir 2.00


(8)
VASP calculation (GGA-PBE) on crystalline Mg2SbIrC at its relaxed geometry.

- Raw formation energy: 834 kJ/mol of formula units
- Energy: -3.350 eV per atom
- Space-group type: P4/mmm (123)

abc: 5.3515 5.3515 4.0716
angles: 90.00 90.00 90.00
Closest atoms and distances in Å follow each position.
Sites, in units of the cell vectors:
Mg 0.0000 0.5000 0.0000  2 Sb 2.68
Mg 0.5000 0.0000 0.0000  2 Sb 2.68
Sb 0.0000 0.0000 0.0000  2 C 2.04
Ir 0.5000 0.5000 0.5000  8 Mg 3.36
C 0.0000 0.0000 0.5000  2 Sb 2.04


(9)
VASP calculation (GGA-PBE) on crystalline MgSc2IrC at its relaxed geometry.

- Energy: -6.940 eV per atom
- Energy above the lowest structure with this stoichiometry: 0.000 eV per atom
- Space-group type: P4/mmm (123)
- Energy of formation from the pure elements: -0.471 eV per atom

abc: 4.6296 4.6296 3.9325
angles: 90.00 90.00 90.00
Closest atoms and distances in Å follow each position.
Sites, in units of the cell vectors:
Mg 0.0000 0.0000 0.0000  8 Sc 3.04, 4 Ir 3.27
Sc 0.0000 0.5000 0.5000  2 C 2.31
Sc 0.5000 0.0000 0.5000  2 C 2.31
Ir 0.5000 0.5000 0.0000  2 C 1.97
C 0.5000 0.5000 0.5000  2 Ir 1.97


(10)
VASP calculation (GGA-PBE) on crystalline MgSc2IrC at its relaxed geometry.

- Energy: -6.791 eV per atom
- Energy above the lowest structure with this stoichiometry: 0.148 eV per atom
- Space-group type: P4/mmm (123)
- Energy of formation from the pure elements: -0.323 eV per atom

abc: 4.4591 4.4591 4.1680
angles: 90.00 90.00 90.00
Closest atoms and distances in Å follow each position.
Sites, in units of the cell vectors:
Mg 0.0000 0.0000 0.0000  2 C 2.08
Sc 0.0000 0.5000 0.5000  2 C 2.23
Sc 0.5000 0.0000 0.5000  2 C 2.23
Ir 0.5000 0.5000 0.0000  8 Sc 3.05, 4 Mg 3.15
C 0.0000 0.0000 0.5000  2 Mg 2.08, 4 Sc 2.23


(11)
VASP calculation (GGA-PBE) on crystalline MgZrIr2C at its relaxed geometry.

- Energy: -5.950 eV per atom
- Energy above the lowest structure with this stoichiometry: 0.000 eV per atom
- Space-group type: P4/mmm (123)
- Energy of formation from the pure elements: 1.467 eV per atom

abc: 4.9519 4.9519 4.3061
angles: 90.00 90.00 90.00
Closest atoms and distances in Å follow each position.
Sites, in units of the cell vectors:
Mg 0.0000 0.0000 0.0000  8 Ir 3.28, 4 C 3.50
Zr 0.5000 0.5000 0.5000  2 C 2.15
Ir 0.0000 0.5000 0.5000  2 Zr 2.48
Ir 0.5000 0.0000 0.5000  2 Zr 2.48
C 0.5000 0.5000 0.0000  2 Zr 2.15


(12)
VASP calculation (GGA-PBE) on crystalline MgZrIr2C at its relaxed geometry.

- Energy: -4.849 eV per atom
- Energy above the lowest structure with this stoichiometry: 1.101 eV per atom
- Space-group type: P4/mmm (123)
- Energy of formation from the pure elements: 2.568 eV per atom

abc: 4.8184 4.8184 5.6495
angles: 90.00 90.00 90.00
Closest atoms and distances in Å follow each position.
Sites, in units of the cell vectors:
Mg 0.0000 0.0000 0.0000  2 Zr 2.82
Zr 0.0000 0.0000 0.5000  4 Ir 2.41
Ir 0.0000 0.5000 0.5000  2 Zr 2.41
Ir 0.5000 0.0000 0.5000  2 Zr 2.41
C 0.5000 0.5000 0.0000  4 Mg 3.41, 8 Ir 3.71


(13)
VASP calculation (GGA-PBE) on crystalline MnIrC at its relaxed geometry.

- Energy: -8.655 eV per atom
- Energy above the lowest structure with this stoichiometry: 0.181 eV per atom
- Space-group type: Amm2 (38)
- Energy of formation from the pure elements: 0.430 eV per atom

abc: 3.5030 3.6551 3.6551
angles: 42.92 90.00 90.00
Closest atoms and distances in Å follow each position.
Sites, in units of the cell vectors:
Mn 0.0000 0.0000 0.0000  3 C 1.95-1.98
Ir 0.5000 0.2901 0.2901  4 C 2.26
C 0.0000 0.7137 0.7137  3 Mn 1.95-1.98


(14)
VASP calculation (GGA-PBE) on crystalline MnIrC at its relaxed geometry.

- Energy: -8.495 eV per atom
- Energy above the lowest structure with this stoichiometry: 0.341 eV per atom
- Space-group type: Cm (8)
- Energy of formation from the pure elements: 0.590 eV per atom

abc: 3.6310 3.6310 4.6282
angles: 108.43 108.43 44.91
Closest atoms and distances in Å follow each position.
Sites, in units of the cell vectors:
Mn 0.0000 0.0000 0.0000  2 C 1.90
Ir 0.8234 0.8234 0.3753  2 C 1.98
C 0.4100 0.4100 0.7013  2 Mn 1.90, 2 Ir 1.98


(15)
VASP calculation (GGA-PBE) on crystalline MnIrC at its relaxed geometry.

- Energy: -8.700 eV per atom
- Energy above the lowest structure with this stoichiometry: 0.136 eV per atom
- Space-group type: P-6m2 (187)
- Energy of formation from the pure elements: 0.385 eV per atom

abc: 3.2131 3.2131 4.0126
angles: 90.00 90.00 120.00
Closest atoms and distances in Å follow each position.
Sites, in units of the cell vectors:
Mn 0.0000 0.0000 0.0000  3 C 1.86
Ir 0.6667 0.3333 0.5000  2 C 2.01
C 0.6667 0.3333 0.0000  3 Mn 1.86, 2 Ir 2.01